[1]
ZrInSi2 | PBE | relaxed

a = 3.515 Å, b = 3.515 Å, c = 6.039 Å
α = 90.00°, β = 90.00°, γ = 90.00°
Element x y z (fractional)
Zr: 0.000 0.000 0.000
In: 0.500 0.500 0.310
Si: 0.000 0.000 0.563
Si: 0.500 0.500 0.770

Values from the calculation:
Formation energy (no corrections) (meV/atom): -70.5
Size of the total moment (μB per formula unit): 0.00
Space-group type: P4mm (99)

***

[2]
ScTeIrO6 | PBE | relaxed

a = 5.288 Å, b = 5.288 Å, c = 8.595 Å
α = 90.00°, β = 90.00°, γ = 120.00°
Element x y z (fractional)
Sc: 0.333 0.667 0.250
Sc: 0.667 0.333 0.750
Te: 0.333 0.667 0.750
Te: 0.667 0.333 0.250
Ir: 0.000 0.000 0.000
Ir: 0.000 0.000 0.500
O: 0.016 0.346 0.626
O: 0.016 0.670 0.874
O: 0.330 0.346 0.874
O: 0.330 0.984 0.626
O: 0.346 0.016 0.126
O: 0.346 0.330 0.374
O: 0.654 0.670 0.626
O: 0.654 0.984 0.874
O: 0.670 0.016 0.374
O: 0.670 0.654 0.126
O: 0.984 0.330 0.126
O: 0.984 0.654 0.374

Values from the calculation:
Formation energy (no corrections) (meV/atom): -1423.3
Size of the total moment (μB per formula unit): 0.00
Space-group type: P-31c (163)

***

[3]
BaHoTl4 | PBE | relaxed

a = 6.431 Å, b = 6.431 Å, c = 6.431 Å
α = 60.00°, β = 60.00°, γ = 60.00°
Element x y z (fractional)
Ba: 0.000 0.000 0.000
Ho: 0.750 0.750 0.750
Tl: 0.375 0.375 0.375
Tl: 0.375 0.375 0.874
Tl: 0.375 0.874 0.375
Tl: 0.874 0.375 0.375

Values from the calculation:
Size of the total moment (μB per formula unit): 0.00
Space-group type: F-43m (216)
Relative energy among the computed polymorphs (meV/atom): 0

***

[4]
Sc4InSn | PBE | relaxed

a = 3.325 Å, b = 5.242 Å, c = 8.492 Å
α = 90.00°, β = 90.00°, γ = 90.00°
Element x y z (fractional)
Sc: 0.000 0.000 0.192
Sc: 0.000 0.000 0.808
Sc: 0.500 0.500 0.305
Sc: 0.500 0.500 0.695
In: 0.500 0.000 0.500
Sn: 0.000 0.500 0.000

Values from the calculation:
Size of the total moment (μB per formula unit): 1.88
Space-group type: Pmmm (47)
Relative energy among the computed polymorphs (meV/atom): 76

***

[5]
Ba2NiP | PBE | relaxed

a = 8.727 Å, b = 8.727 Å, c = 8.727 Å
α = 152.44°, β = 150.75°, γ = 40.63°
Element x y z (fractional)
Ba: 0.000 0.000 0.000
Ba: 0.770 0.270 0.500
Ni: 0.404 0.404 0.000
P: 0.362 0.862 0.500

Values from the calculation:
Calculated total energy (eV/atom): -4.32
Size of the total moment (μB per formula unit): 0.91
Space-group type: Imm2 (44)

***

[6]
DyThTlAu | PBE | relaxed

a = 3.583 Å, b = 3.583 Å, c = 8.213 Å
α = 90.00°, β = 90.00°, γ = 90.00°
Element x y z (fractional)
Dy: 0.000 0.000 0.000
Th: 0.000 0.000 0.460
Tl: 0.500 0.500 0.739
Au: 0.500 0.500 0.204

Values from the calculation:
Size of the total moment (μB per formula unit): 0.00
Space-group type: P4mm (99)
Relative energy among the computed polymorphs (meV/atom): 0

***

[7]
Tb6PrTl4 | PBE | relaxed

a = 10.157 Å, b = 10.157 Å, c = 3.783 Å
α = 90.00°, β = 90.00°, γ = 120.00°
Element x y z (fractional)
Tb: 0.192 0.384 0.000
Tb: 0.192 0.808 0.000
Tb: 0.540 0.080 0.500
Tb: 0.540 0.460 0.500
Tb: 0.616 0.808 0.000
Tb: 0.920 0.460 0.500
Pr: 0.000 0.000 0.500
Tl: 0.326 0.163 0.000
Tl: 0.333 0.667 0.500
Tl: 0.837 0.163 0.000
Tl: 0.837 0.674 0.000

Values from the calculation:
Calculated total energy (eV/atom): -4.06
Size of the total moment (μB per formula unit): 2.43
Space-group type: P-6m2 (187)

***

[8]
Rb2MgTl6Cd | PBE | relaxed

a = 14.336 Å, b = 14.336 Å, c = 14.336 Å
α = 31.96°, β = 31.96°, γ = 31.96°
Element x y z (fractional)
Rb: 0.136 0.136 0.136
Rb: 0.307 0.307 0.307
Rb: 0.693 0.693 0.693
Rb: 0.864 0.864 0.864
Mg: 0.000 0.000 0.000
Mg: 0.500 0.500 0.500
Tl: 0.070 0.645 0.645
Tl: 0.196 0.196 0.771
Tl: 0.196 0.771 0.196
Tl: 0.229 0.804 0.804
Tl: 0.355 0.355 0.930
Tl: 0.355 0.930 0.355
Tl: 0.645 0.070 0.645
Tl: 0.645 0.645 0.070
Tl: 0.771 0.196 0.196
Tl: 0.804 0.229 0.804
Tl: 0.804 0.804 0.229
Tl: 0.930 0.355 0.355
Cd: 0.418 0.418 0.418
Cd: 0.582 0.582 0.582

Values from the calculation:
Calculated total energy (eV/atom): -1.84
Size of the total moment (μB per formula unit): 0.00
Space-group type: R-3m (166)